(1)
# ZrAlNi

A crystal of ZrAlNi relaxed with PBEsol (meta-GGA SCAN, the Alexandria database).

Summary:
Final energy = -18.735 eV/atom
Formation energy = -0.527 eV/atom

Unit cell a=4.1992 b=4.1992 c=3.1145 alpha=90.00 beta=90.00 gamma=120.00
Space group P-6m2 (No. 187)
Unique sites:
Zr 0.0000 0.0000 0.0000 x1
Al 0.6667 0.3333 0.5000 x1
Ni 0.3333 0.6667 0.5000 x1

(2)
# InFePb2

A crystal of InFePb2 relaxed with PBEsol (meta-GGA SCAN, the Alexandria database).

Summary:
Final energy = -50.289 eV/atom
Formation energy = 0.481 eV/atom
E above lowest polymorph = 91 kJ/mol of formula units

Unit cell a=4.5876 b=4.5876 c=8.9050 alpha=90.00 beta=90.00 gamma=90.00
Space group I4/mmm (No. 139)
Unique sites:
In 0.0000 0.0000 0.0000 x2
Fe 0.0000 0.0000 0.5000 x2
Pb 0.0000 0.5000 0.2500 x4

(3)
# SrSc2W

A crystal of SrSc2W relaxed with PBEsol (meta-GGA SCAN, the Alexandria database).

Summary:
Final energy = -29.133 eV/atom
Formation energy = 0.976 eV/atom
E above lowest polymorph = 136 kJ/mol of formula units

Unit cell a=7.1090 b=7.1090 c=7.1090 alpha=90.00 beta=90.00 gamma=90.00
Space group F-43m (No. 216)
Unique sites:
Sr 0.0000 0.0000 0.0000 x4
Sc 0.0000 0.0000 0.5000 x4
Sc 0.2500 0.2500 0.7500 x4
W 0.2500 0.2500 0.2500 x4